Entry 1:
{"formula": "NaBe2NbHg", "functional": "PBE-GGA", "state": "optimized geometry", "lattice_angstrom": [[4.461, 0.000, 0.000], [0.000, 4.461, 0.000], [0.000, 0.000, 4.963]], "species": ["Na", "Be", "Be", "Nb", "Hg"], "fractional_positions": [[0.000, 0.000, 0.000], [0.000, 0.500, 0.500], [0.500, 0.000, 0.500], [0.500, 0.500, 0.000], [0.000, 0.000, 0.500]], "magnetic_moment_mub_per_atom": 0.3975, "energy_ev_per_cell": -12.88, "formation_enthalpy_0k_ev_per_fu": 6.27}


Entry 2:
{"formula": "KLi3Pd", "functional": "PBE-GGA", "state": "optimized geometry", "lattice_angstrom": [[5.044, 0.000, 0.000], [0.000, 5.044, 0.000], [0.000, 0.000, 5.044]], "species": ["K", "Li", "Li", "Li", "Pd"], "fractional_positions": [[0.000, 0.000, 0.000], [0.000, 0.500, 0.500], [0.500, 0.000, 0.500], [0.500, 0.500, 0.000], [0.500, 0.500, 0.500]], "magnetic_moment_mub_per_atom": 0.0000, "energy_ev_per_cell": -12.43, "formation_enthalpy_0k_ev_per_fu": -0.40}


Entry 3:
{"formula": "PC", "functional": "PBE-GGA", "state": "optimized geometry", "lattice_angstrom": [[2.917, 0.000, 0.000], [-0.001, 4.723, 0.000], [-1.431, -2.151, 5.008]], "species": ["P", "P", "C", "C"], "fractional_positions": [[0.082, 0.246, 0.168], [0.918, 0.754, 0.832], [0.472, 0.605, 0.943], [0.528, 0.395, 0.057]], "magnetic_moment_mub_per_atom": 0.0000, "energy_ev_per_cell": -27.59, "formation_enthalpy_0k_ev_per_fu": 0.84}